No. 1
# AlCu3S

AlCu3S at its PBEsol-relaxed geometry (meta-GGA SCAN, Alexandria via LeMat-Bulk).

- total energy (eV for the cell shown) = -60.7
- formation energy without anion corrections (eV per atom) = 0.453

The structure in POSCAR format:
```
AlCu3S
1.0
4.339 0.000 0.000
0.000 4.339 0.000
0.000 0.000 4.339
Al Cu S
1 3 1
direct
0.000 0.000 0.000
0.000 0.500 0.500
0.500 0.000 0.500
0.500 0.500 0.000
0.500 0.500 0.500
```

No. 2
# Li2Cu

Li2Cu at its PBEsol-relaxed geometry (meta-GGA SCAN, Alexandria via LeMat-Bulk).

- total energy (eV for the cell shown) = -79.7
- energy relative to the elements (eV/atom) = 0.022

The structure in POSCAR format:
```
Li2Cu
1.0
-1.974 1.974 10.623
1.974 -1.974 10.623
1.974 1.974 -10.623
Li Cu
8 4
direct
0.123 0.373 0.750
0.287 0.537 0.750
0.373 0.123 0.250
0.463 0.713 0.750
0.537 0.287 0.250
0.627 0.877 0.750
0.713 0.463 0.250
0.877 0.627 0.250
0.036 0.786 0.250
0.214 0.964 0.250
0.786 0.036 0.750
0.964 0.214 0.750
```

No. 3
# BaSi2Sb

BaSi2Sb at its PBEsol-relaxed geometry (meta-GGA SCAN, Alexandria via LeMat-Bulk).

- total energy (eV for the cell shown) = -191.6
- formation energy without anion corrections (eV per atom) = 0.263

The structure in POSCAR format:
```
BaSi2Sb
1.0
3.727 0.000 0.000
0.000 5.773 0.000
0.000 0.000 9.747
Ba Si Sb
2 4 2
direct
0.000 0.000 0.000
0.500 0.500 0.500
0.000 0.500 0.210
0.000 0.500 0.790
0.500 0.000 0.290
0.500 0.000 0.710
0.000 0.000 0.500
0.500 0.500 0.000
```

No. 4
# CoTeO4

CoTeO4 at its PBEsol-relaxed geometry (meta-GGA SCAN, Alexandria via LeMat-Bulk).

- total energy (eV for the cell shown) = -172.0
- ΔE to the lowest computed polymorph (eV/atom) = 0.0000
- formation energy without anion corrections (eV per atom) = -1.089

The structure in POSCAR format:
```
CoTeO4
1.0
5.445 0.000 0.000
0.000 4.651 0.000
-2.162 0.000 5.114
Co Te O
2 2 8
direct
0.000 0.000 0.000
0.000 0.500 0.500
0.500 0.000 0.500
0.500 0.500 0.000
0.145 0.207 0.333
0.145 0.293 0.833
0.337 0.680 0.638
0.337 0.820 0.138
0.663 0.180 0.862
0.663 0.320 0.362
0.855 0.707 0.167
0.855 0.793 0.667
```

No. 5
# TaSi2

TaSi2 at its PBEsol-relaxed geometry (meta-GGA SCAN, Alexandria via LeMat-Bulk).

- total energy (eV for the cell shown) = -174.2
- formation energy without anion corrections (eV per atom) = -0.167

The structure in POSCAR format:
```
TaSi2
1.0
3.444 0.000 0.000
0.000 3.444 0.000
0.000 0.000 8.048
Ta Si
2 4
direct
0.000 0.000 0.000
0.500 0.500 0.500
0.000 0.500 0.250
0.000 0.500 0.750
0.500 0.000 0.250
0.500 0.000 0.750
```

No. 6
# MnTlOs2

MnTlOs2 at its PBEsol-relaxed geometry (meta-GGA SCAN, Alexandria via LeMat-Bulk).

- total energy (eV for the cell shown) = -464.8
- ΔE to the lowest computed polymorph (eV/atom) = 0.0000
- energy relative to the elements (eV/atom) = 0.489

The structure in POSCAR format:
```
MnTlOs2
1.0
8.974 0.000 0.000
0.000 2.842 0.000
-1.022 0.000 4.803
Mn Tl Os
2 2 4
direct
0.000 0.000 0.000
0.500 0.500 0.000
0.000 0.500 0.500
0.500 0.000 0.500
0.231 0.500 0.210
0.269 0.000 0.790
0.731 0.000 0.210
0.769 0.500 0.790
```

No. 7
# Ti2VHO6

Ti2VHO6 at its PBEsol-relaxed geometry (meta-GGA SCAN, Alexandria via LeMat-Bulk).

- total energy (eV for the cell shown) = -474.0

The structure in POSCAR format:
```
Ti2VHO6
1.0
8.449 0.000 0.000
0.000 4.527 0.000
-0.472 0.000 9.944
Ti V H O
8 4 4 24
direct
0.091 0.007 0.377
0.091 0.493 0.877
0.229 0.022 0.117
0.229 0.478 0.617
0.771 0.522 0.383
0.771 0.978 0.883
0.909 0.507 0.123
0.909 0.993 0.623
0.408 0.523 0.351
0.408 0.977 0.851
0.592 0.023 0.149
0.592 0.477 0.649
0.415 0.571 0.073
0.415 0.929 0.573
0.585 0.071 0.427
0.585 0.429 0.927
0.074 0.222 0.205
0.074 0.278 0.705
0.089 0.715 0.042
0.089 0.785 0.542
0.248 0.211 0.946
0.248 0.289 0.446
0.252 0.706 0.786
0.252 0.794 0.286
0.414 0.227 0.698
0.414 0.273 0.198
0.419 0.717 0.546
0.419 0.783 0.046
0.581 0.217 0.954
0.581 0.283 0.454
0.586 0.727 0.802
0.586 0.773 0.302
0.748 0.206 0.714
0.748 0.294 0.214
0.752 0.711 0.554
0.752 0.789 0.054
0.911 0.215 0.458
0.911 0.285 0.958
0.926 0.722 0.295
0.926 0.778 0.795
```

No. 8
# SrZrMn2Cu

SrZrMn2Cu at its PBEsol-relaxed geometry (meta-GGA SCAN, Alexandria via LeMat-Bulk).

- total energy (eV for the cell shown) = -98.3
- energy relative to the elements (eV/atom) = 1.280

The structure in POSCAR format:
```
SrZrMn2Cu
1.0
4.660 0.000 0.000
0.000 4.660 0.000
0.000 0.000 5.853
Sr Zr Mn Cu
1 1 2 1
direct
0.000 0.000 0.000
0.000 0.000 0.500
0.000 0.500 0.500
0.500 0.000 0.500
0.500 0.500 0.000
```

No. 9
# SrH16O10

SrH16O10 at its PBEsol-relaxed geometry (meta-GGA SCAN, Alexandria via LeMat-Bulk).

- total energy (eV for the cell shown) = -170.2
- ΔE to the lowest computed polymorph (eV/atom) = 0.0459

The structure in POSCAR format:
```
SrH16O10
1.0
4.312 -4.312 0.000
4.312 4.312 0.000
-0.014 0.000 6.828
Sr H O
1 16 10
direct
0.000 0.000 0.000
0.069 0.746 0.314
0.072 0.254 0.686
0.251 0.069 0.317
0.254 0.931 0.686
0.321 0.329 0.320
0.324 0.671 0.682
0.329 0.676 0.318
0.332 0.323 0.683
0.668 0.321 0.319
0.671 0.679 0.680
0.677 0.668 0.317
0.679 0.332 0.681
0.746 0.928 0.314
0.749 0.072 0.683
0.928 0.251 0.317
0.931 0.749 0.683
0.207 0.219 0.272
0.210 0.781 0.730
0.219 0.790 0.270
0.221 0.210 0.732
0.499 0.499 0.392
0.501 0.501 0.608
0.779 0.207 0.270
0.781 0.793 0.728
0.790 0.779 0.268
0.793 0.221 0.730
```

No. 10
# TbCoSi

TbCoSi at its PBEsol-relaxed geometry (meta-GGA SCAN, Alexandria via LeMat-Bulk).

- total energy (eV for the cell shown) = -152.4
- formation energy without anion corrections (eV per atom) = -0.711

The structure in POSCAR format:
```
TbCoSi
1.0
3.924 0.000 0.000
0.000 3.924 0.000
0.000 0.000 6.601
Tb Co Si
2 2 2
direct
0.250 0.250 0.181
0.750 0.750 0.819
0.250 0.750 0.500
0.750 0.250 0.500
0.250 0.250 0.685
0.750 0.750 0.315
```

No. 11
# Cs2BC

Cs2BC at its PBEsol-relaxed geometry (meta-GGA SCAN, Alexandria via LeMat-Bulk).

- total energy (eV for the cell shown) = -340.6
- energy relative to the elements (eV/atom) = 2.001

The structure in POSCAR format:
```
Cs2BC
1.0
7.732 0.000 0.000
0.000 7.732 0.000
0.000 0.000 7.732
Cs B C
8 4 4
direct
0.250 0.250 0.250
0.250 0.250 0.750
0.250 0.750 0.250
0.250 0.750 0.750
0.750 0.250 0.250
0.750 0.250 0.750
0.750 0.750 0.250
0.750 0.750 0.750
0.000 0.000 0.000
0.000 0.500 0.500
0.500 0.000 0.500
0.500 0.500 0.000
0.000 0.000 0.500
0.000 0.500 0.000
0.500 0.000 0.000
0.500 0.500 0.500
```

No. 12
# Zr2MoRh

Zr2MoRh at its PBEsol-relaxed geometry (meta-GGA SCAN, Alexandria via LeMat-Bulk).

- total energy (eV for the cell shown) = -391.7
- energy relative to the elements (eV/atom) = -0.129

The structure in POSCAR format:
```
Zr2MoRh
1.0
3.175 0.000 0.000
-1.588 2.750 0.000
0.000 0.000 24.719
Zr Mo Rh
6 3 3
direct
0.000 0.000 0.250
0.000 0.000 0.750
0.333 0.667 0.416
0.333 0.667 0.917
0.667 0.333 0.083
0.667 0.333 0.584
0.000 0.000 0.500
0.333 0.667 0.167
0.667 0.333 0.833
0.000 0.000 0.000
0.333 0.667 0.667
0.667 0.333 0.333
```